1) Compound: HfAs2SeBr
Source: Alexandria via LeMat-Bulk
Functional: PBE
Structure: relaxed

Unit cell a=4.913 b=4.913 c=5.107 alpha=90.00 beta=90.00 gamma=90.00
Fractional coordinates of all 5 atoms:
1 Hf 0.000 0.000 0.000
2 As 0.000 0.500 0.500
3 As 0.500 0.000 0.500
4 Se 0.500 0.500 0.000
5 Br 0.500 0.500 0.500

Its space group is P4/mmm, No. 123. The calculation puts the total moment at 0.000 μB/cell.

2) Compound: HfAs2SeBr
Source: Alexandria via LeMat-Bulk
Functional: PBE
Structure: relaxed

Unit cell a=5.253 b=5.253 c=5.042 alpha=90.00 beta=90.00 gamma=90.00
Fractional coordinates of all 5 atoms:
1 Hf 0.000 0.000 0.000
2 As 0.000 0.500 0.000
3 As 0.500 0.000 0.000
4 Se 0.000 0.000 0.500
5 Br 0.500 0.500 0.500

Its space group is P4/mmm, No. 123. The calculation puts the total moment at 0.000 μB/cell.

Q: Which of them is the least stable? A: 1).

1) Compound: HfAs2SeBr
Source: Alexandria via LeMat-Bulk
Functional: PBE
Structure: relaxed

Unit cell a=5.081 b=5.081 c=4.804 alpha=90.00 beta=90.00 gamma=90.00
Fractional coordinates of all 5 atoms:
1 Hf 0.000 0.000 0.000
2 As 0.000 0.500 0.500
3 As 0.500 0.000 0.500
4 Se 0.500 0.500 0.500
5 Br 0.500 0.500 0.000

Its space group is P4/mmm, No. 123. The calculation puts the total moment at 0.000 μB/cell.

2) Compound: HfAs2SeBr
Source: Alexandria via LeMat-Bulk
Functional: PBE
Structure: relaxed

Unit cell a=5.256 b=5.256 c=5.029 alpha=90.00 beta=90.00 gamma=90.00
Fractional coordinates of all 5 atoms:
1 Hf 0.000 0.000 0.000
2 As 0.000 0.500 0.000
3 As 0.500 0.000 0.000
4 Se 0.500 0.500 0.500
5 Br 0.000 0.000 0.500

Its space group is P4/mmm, No. 123. The calculation puts the total moment at 0.000 μB/cell.

Q: Which of them is the least stable? A: 1).